The following is a PBEsol calculation of a relaxed Mg2InCl crystal, from Alexandria.

Structure (CIF):
```
data_Mg2InCl
_cell_length_a 5.254
_cell_length_b 5.254
_cell_length_c 3.189
_cell_angle_alpha 90.00
_cell_angle_beta 90.00
_cell_angle_gamma 90.00
_symmetry_space_group_name_H-M 'P 4/m m m'
_symmetry_Int_Tables_number 123
_symmetry_space_group_name_Hall '-P 4 2'
loop_
_atom_site_label
_atom_site_type_symbol
_atom_site_fract_x
_atom_site_fract_y
_atom_site_fract_z
Mg1 Mg 0.000 0.500 0.000
In1 In 0.000 0.000 0.500
Cl1 Cl 0.500 0.500 0.500
```

Computed properties:
The total energy is -2.540 eV per atom. The value obtained for the density of states at the Fermi level is 0.333 states/eV per atom. As for the energy above the most stable polymorph in this dataset: 31 meV/atom. The calculation puts the uncorrected formation energy at -0.43 eV per atom.